*1*
5
Lattice="-1.219 1.223 3.311 -0.559 -3.526 1.097 4.622 -0.183 1.768" Properties=species:S:1:pos:R:3 comment="PBE+U CoBrOF2, relaxed" dos_at_fermi_per_ev_fu=3.99 pbc="T T T"
F -0.609 0.612 1.656
Co 0.000 0.000 0.000
F -0.280 -1.763 0.548
Br 1.422 -1.243 3.088
O 2.311 -0.091 0.884

=====

*2*
5
Lattice="-4.373 1.468 1.194 -0.892 -3.260 0.743 1.440 0.631 4.498" Properties=species:S:1:pos:R:3 comment="PBE+U CoBrOF2, relaxed" dos_at_fermi_per_ev_fu=4.28 pbc="T T T"
F 0.720 0.316 2.249
F -2.186 0.734 0.597
O 0.000 0.000 0.000
Br -1.912 -0.581 3.217
Co -0.446 -1.630 0.371

=====

*3*
5
Lattice="-3.917 1.886 -2.019 -2.580 -3.750 1.504 -0.765 1.794 3.160" Properties=species:S:1:pos:R:3 comment="PBE+U CoBrOF2, relaxed" dos_at_fermi_per_ev_fu=7.86 pbc="T T T"
O -0.383 0.897 1.580
F -1.290 -1.875 0.752
Co -3.631 -0.035 1.322
F -1.959 0.943 -1.009
Br 0.000 0.000 0.000

=====

Stability summary: most stable *1*, least stable *3*.

=====

*1*
5
Lattice="4.942 0.000 0.000 0.000 4.942 0.000 0.000 0.000 4.798" Properties=species:S:1:pos:R:3 comment="PBE+U CoSeBr2F, relaxed" dos_at_fermi_per_ev_fu=8.35 pbc="T T T"
Br 0.000 2.471 0.000
Se 0.000 0.000 2.399
F 2.471 2.471 2.399
Br 2.471 0.000 0.000
Co 0.000 0.000 0.000

=====

*2*
5
Lattice="5.589 0.000 0.000 0.000 5.589 0.000 0.000 0.000 3.872" Properties=species:S:1:pos:R:3 comment="PBE+U CoSeBr2F, relaxed" dos_at_fermi_per_ev_fu=6.72 pbc="T T T"
Br 0.000 2.794 0.000
Br 2.794 0.000 0.000
Se 0.000 0.000 1.936
F 0.000 0.000 0.000
Co 2.794 2.794 1.936

=====

Stability summary: most stable *1*, least stable *2*.